# ScTiRe2

A relaxed ScTiRe2 crystal (GGA-PBE, Alexandria).

Cell: 4.492 4.492 4.492 Å, 60.00 60.00 60.00°
Positions (direct):
Re: 0.750 0.750 0.750
Re: 0.250 0.250 0.250
Sc: 0.000 0.000 0.000
Ti: 0.500 0.500 0.500

Properties
Size of the total moment ... 0.00 μB per formula unit
Calculated density ... 12052 kg/m³
ΔE to the lowest computed polymorph ... 0 meV/atom
Energy relative to the elements ... -0.083 eV/atom